<a>
Compound: YAlGeO5
Source: Alexandria
Functional: PBE
Structure: optimized geometry

The space group is C2/c (No. 15) and the conventional cell measures 6.609, 8.784 and 6.925 Å, with angles of 90.00, 112.71 and 90.00 degrees. The distinct sites, in fractional coordinates, are Y at (0.000, 0.180, 0.250), Al at (0.000, 0.500, 0.000), Ge at (0.000, 0.176, 0.750), O at (0.000, 0.429, 0.250), O at (0.107, 0.291, 0.602) and O at (0.188, 0.050, 0.929).

The volume is 370.8 Å³ per cell. For the total magnetic moment, the calculation gives 0.00 μB per atom.

---

<b>
Compound: YAlGeO5
Source: Alexandria
Functional: PBE
Structure: optimized geometry

The space group is Pbam (No. 55) and the conventional cell measures 7.330, 8.418 and 5.674 Å, with angles of 90.00, 90.00 and 90.00 degrees. The distinct sites, in fractional coordinates, are Y at (0.143, 0.174, 0.000), Al at (0.000, 0.500, 0.250), Ge at (0.120, 0.856, 0.500), O at (0.000, 0.000, 0.285), O at (0.106, 0.713, 0.253), O at (0.153, 0.431, 0.500) and O at (0.161, 0.447, 0.000).

The volume is 350.1 Å³ per cell. For the total magnetic moment, the calculation gives 0.00 μB per atom.

---

Tell me which of them is the most stable. Sure, it is <b>.

---

<a>
Compound: AlGe3Os
Source: Alexandria
Functional: PBE
Structure: optimized geometry

The space group is Pm-3m (No. 221) and the conventional cell measures 4.721, 4.721 and 4.721 Å, with angles of 90.00, 90.00 and 90.00 degrees. The distinct sites, in fractional coordinates, are Al at (0.000, 0.000, 0.000), Ge at (0.000, 0.000, 0.500) and Os at (0.500, 0.500, 0.500).

The volume is 105.2 Å³ per cell. For the total magnetic moment, the calculation gives 0.32 μB per atom.

---

<b>
Compound: AlGe3Os
Source: Alexandria
Functional: PBE
Structure: optimized geometry

The space group is Pm-3m (No. 221) and the conventional cell measures 4.811, 4.811 and 4.811 Å, with angles of 90.00, 90.00 and 90.00 degrees. The distinct sites, in fractional coordinates, are Al at (0.000, 0.000, 0.000), Ge at (0.000, 0.500, 0.500) and Os at (0.500, 0.500, 0.500).

The volume is 111.3 Å³ per cell. For the total magnetic moment, the calculation gives 0.00 μB per atom.

---

Tell me which of them is the most stable. Sure, it is <b>.

---

<a>
Compound: AlGeP2
Source: Alexandria
Functional: PBE
Structure: optimized geometry

The space group is Fm-3m (No. 225) and the conventional cell measures 6.368, 6.368 and 6.368 Å, with angles of 90.00, 90.00 and 90.00 degrees. The distinct sites, in fractional coordinates, are Al at (0.000, 0.000, 0.000), Ge at (0.000, 0.000, 0.500) and P at (0.250, 0.250, 0.250).

The volume is 258.3 Å³ per cell. For the total magnetic moment, the calculation gives 0.00 μB per atom.

---

<b>
Compound: AlGeP2
Source: Alexandria
Functional: PBE
Structure: optimized geometry

The space group is I-42d (No. 122) and the conventional cell measures 5.582, 5.582 and 11.207 Å, with angles of 90.00, 90.00 and 90.00 degrees. The distinct sites, in fractional coordinates, are Al at (0.000, 0.000, 0.000), Ge at (0.000, 0.000, 0.500) and P at (0.236, 0.250, 0.125).

The volume is 349.2 Å³ per cell. For the total magnetic moment, the calculation gives 0.00 μB per atom.

---

Tell me which of them is the most stable. Sure, it is <b>.

---

<a>
Compound: AlGe2P
Source: Alexandria
Functional: PBE
Structure: optimized geometry

The space group is I-42d (No. 122) and the conventional cell measures 5.699, 5.699 and 11.204 Å, with angles of 90.00, 90.00 and 90.00 degrees. The distinct sites, in fractional coordinates, are Al at (0.000, 0.000, 0.000), Ge at (0.236, 0.250, 0.625) and P at (0.000, 0.000, 0.500).

The volume is 363.9 Å³ per cell. For the total magnetic moment, the calculation gives 0.00 μB per atom.

---

<b>
Compound: AlGe2P
Source: Alexandria
Functional: PBE
Structure: optimized geometry

The space group is Fm-3m (No. 225) and the conventional cell measures 6.551, 6.551 and 6.551 Å, with angles of 90.00, 90.00 and 90.00 degrees. The distinct sites, in fractional coordinates, are Al at (0.000, 0.000, 0.000), Ge at (0.250, 0.250, 0.250) and P at (0.000, 0.000, 0.500).

The volume is 281.1 Å³ per cell. For the total magnetic moment, the calculation gives 0.00 μB per atom.

---

Tell me which of them is the most stable. Sure, it is <a>.

---

<a>
Compound: Pa2AlGe3
Source: Alexandria
Functional: PBE
Structure: optimized geometry

The space group is Pmm2 (No. 25) and the conventional cell measures 3.841, 4.316 and 7.519 Å, with angles of 90.00, 90.00 and 90.00 degrees. The distinct sites, in fractional coordinates, are Pa at (0.000, 0.000, 0.000), Pa at (0.000, 0.500, 0.481), Al at (0.500, 0.500, 0.820), Ge at (0.500, 0.000, 0.327), Ge at (0.500, 0.000, 0.668) and Ge at (0.500, 0.500, 0.145).

The volume is 124.6 Å³ per cell. For the total magnetic moment, the calculation gives 0.00 μB per atom.

---

<b>
Compound: Pa2AlGe3
Source: Alexandria
Functional: PBE
Structure: optimized geometry

The space group is Cmcm (No. 63) and the conventional cell measures 12.166, 8.032 and 5.337 Å, with angles of 90.00, 90.00 and 90.00 degrees. The distinct sites, in fractional coordinates, are Pa at (0.117, 0.189, 0.250), Al at (0.000, 0.455, 0.750), Ge at (0.000, 0.141, 0.750) and Ge at (0.200, 0.500, 0.000).

The volume is 521.5 Å³ per cell. For the total magnetic moment, the calculation gives 0.04 μB per atom.

---

Tell me which of them is the most stable. Sure, it is <a>.

---

<a>
Compound: Al2GePb
Source: Alexandria
Functional: PBE
Structure: optimized geometry

The space group is I-42d (No. 122) and the conventional cell measures 6.373, 6.373 and 11.208 Å, with angles of 90.00, 90.00 and 90.00 degrees. The distinct sites, in fractional coordinates, are Al at (0.203, 0.250, 0.125), Ge at (0.000, 0.000, 0.000) and Pb at (0.000, 0.000, 0.500).

The volume is 455.2 Å³ per cell. For the total magnetic moment, the calculation gives 0.00 μB per atom.

---

<b>
Compound: Al2GePb
Source: Alexandria
Functional: PBE
Structure: optimized geometry

The space group is Fm-3m (No. 225) and the conventional cell measures 7.041, 7.041 and 7.041 Å, with angles of 90.00, 90.00 and 90.00 degrees. The distinct sites, in fractional coordinates, are Al at (0.250, 0.250, 0.250), Ge at (0.000, 0.000, 0.000) and Pb at (0.000, 0.000, 0.500).

The volume is 349.1 Å³ per cell. For the total magnetic moment, the calculation gives 0.00 μB per atom.

---

Tell me which of them is the most stable. Sure, it is <b>.